# PBE Zn3SBr, optimized geometry
data_Zn3SBr
_chemical_formula_sum 'Zn3 S1 Br1'
_cell_length_a 5.115
_cell_length_b 5.115
_cell_length_c 5.115
_cell_angle_alpha 90.00
_cell_angle_beta 90.00
_cell_angle_gamma 90.00
_space_group_name_H-M_alt 'P 1'
_space_group_IT_number 1
loop_
_space_group_symop_operation_xyz
'x,y,z'
loop_
_atom_site_label
_atom_site_type_symbol
_atom_site_fract_x
_atom_site_fract_y
_atom_site_fract_z
_atom_site_occupancy
Zn1 Zn 0.000 0.000 0.500 1
Zn2 Zn 0.000 0.500 0.000 1
Zn3 Zn 0.500 0.000 0.000 1
S1 S 0.500 0.500 0.500 1
Br1 Br 0.000 0.000 0.000 1
# - calculated volume (Å³/f.u.) = 134
# - excess energy over the best structure of this formula in the dataset (meV per atom) = 623
# - formation energy from raw total energies (meV per atom) = 710
# - theoretical density (g cm⁻³) = 3.82